Density functional theory data (GGA+U) for a relaxed structure of BaFe2P4O14.

Computed properties:
Final energy: -7.192 eV/atom
Theoretical density: 3.357 g/cm³
Symmetry: P-1
Crystal system: triclinic

Cell: 6.260 6.328 8.018 Å, 96.37 101.23 105.75°
Element x y z (fractional)
Ba (0.000, 0.000, 0.000)
Fe (0.375, 0.690, 0.230)
Fe (0.625, 0.310, 0.770)
P (0.186, 0.469, 0.809)
P (0.480, 0.244, 0.335)
P (0.520, 0.756, 0.665)
P (0.814, 0.531, 0.191)
O (0.062, 0.672, 0.265)
O (0.219, 0.643, 0.969)
O (0.263, 0.609, 0.663)
O (0.314, 0.360, 0.241)
O (0.331, 0.310, 0.841)
O (0.427, 0.017, 0.220)
O (0.472, 0.235, 0.521)
O (0.528, 0.765, 0.479)
O (0.573, 0.983, 0.780)
O (0.669, 0.690, 0.159)
O (0.686, 0.640, 0.759)
O (0.737, 0.391, 0.337)
O (0.781, 0.357, 0.031)
O (0.938, 0.328, 0.735)